Record 1
The following is a GGA-PBE calculation of a relaxed SrSm4Eu crystal, from the Alexandria database.

Calculated values
calculated volume	39.766	A^3/atom
formation enthalpy at 0 K	1.2	eV/f.u.
E_tot	-4.937	eV/atom
total moment	7.3	μB/cell

Lattice parameters (Å, degrees): 6.962 6.962 6.962 60.00 60.00 60.00
Each line ends with the local moment (μB).
Positions (direct):
1 Sr 0.250 0.250 0.250  -0.01
2 Sm 0.123 0.626 0.626  0.01
3 Sm 0.626 0.626 0.123  0.01
4 Sm 0.626 0.626 0.626  0.01
5 Sm 0.626 0.123 0.626  0.01
6 Eu 0.000 0.000 0.000  6.90

***

Record 2
The following is a GGA-PBE calculation of a relaxed NdPuNp2Se4 crystal, from the Alexandria database.

Calculated values
calculated volume	25.195	A^3/atom
E_tot	-8.744	eV/atom
total moment	14.7	μB/cell
E_form (uncorrected)	-1.38	eV per atom

Lattice parameters (Å, degrees): 4.140 7.199 7.169 109.38 90.00 90.00
Each line ends with the local moment (μB).
Positions (direct):
1 Se 0.500 0.743 0.742  0.06
2 Se 0.000 0.747 0.256  0.07
3 Se 0.500 0.257 0.258  0.06
4 Se 0.000 0.253 0.744  0.07
5 Pu 0.500 0.500 0.000  -5.46
6 Np 0.500 0.000 0.500  -4.13
7 Np 0.000 0.500 0.500  -4.10
8 Nd 0.000 0.000 0.000  -0.03

***

Record 3
The following is a GGA-PBE calculation of a relaxed CaMgH4 crystal, from the Alexandria database.

Calculated values
calculated volume	10.791	A^3/atom
E_tot	-3.143	eV/atom
total moment	0.0	μB/cell

Lattice parameters (Å, degrees): 3.562 3.562 5.103 89.89 89.94 90.00
Positions (direct):
1 H 0.501 0.997 0.268
2 H 0.002 0.498 0.729
3 H 0.502 0.998 0.729
4 H 0.001 0.497 0.268
5 Mg 0.001 0.997 0.498
6 Ca 0.501 0.497 0.998

***

Record 4
The following is a GGA-PBE calculation of a relaxed HOsCN crystal, from the Alexandria database.

Calculated values
calculated volume	9.422	A^3/atom
E_tot	-7.422	eV/atom
total moment	0.0	μB/cell
energy above the most stable polymorph in this dataset	169.9	meV per atom

Lattice parameters (Å, degrees): 3.452 2.883 7.575 90.00 90.00 90.00
Positions (direct):
1 N 0.000 0.000 0.448
2 N 0.500 0.500 0.948
3 H 0.000 0.000 0.118
4 H 0.500 0.500 0.618
5 C 0.500 0.500 0.121
6 C 0.000 0.000 0.621
7 Os 0.500 0.000 0.759
8 Os 0.000 0.500 0.259

***

Record 5
The following is a GGA-PBE calculation of a relaxed VCr2Ge crystal, from the Alexandria database.

Calculated values
calculated volume	13.827	A^3/atom
formation enthalpy at 0 K	2.5	eV/f.u.
E_tot	-7.632	eV/atom
total moment	1.2	μB/cell

Lattice parameters (Å, degrees): 6.605 6.605 5.314 51.58 51.58 90.00
Each line ends with the local moment (μB).
Positions (direct):
1 Cr 0.601 0.125 0.250  0.36
2 Cr 0.375 0.399 0.750  0.36
3 Cr 0.149 0.625 0.250  0.36
4 Cr 0.875 0.851 0.750  0.36
5 V 0.250 0.750 0.500  -0.11
6 V 0.500 0.500 0.000  -0.11
7 Ge 0.000 0.000 0.000  -0.01
8 Ge 0.750 0.250 0.500  -0.01

***

Record 6
The following is a GGA-PBE calculation of a relaxed AcHo5Ag4 crystal, from the Alexandria database.

Calculated values
calculated volume	26.292	A^3/atom
formation enthalpy at 0 K	-2.4	eV/f.u.
E_tot	-4.081	eV/atom
total moment	0.0	μB/cell

Lattice parameters (Å, degrees): 3.616 3.616 20.111 90.00 90.00 90.00
Positions (direct):
1 Ho 0.500 0.500 0.500
2 Ho 0.500 0.500 0.138
3 Ho 0.500 0.500 0.862
4 Ho 0.500 0.500 0.682
5 Ho 0.500 0.500 0.318
6 Ag 0.000 0.000 0.591
7 Ag 0.000 0.000 0.226
8 Ag 0.000 0.000 0.774
9 Ag 0.000 0.000 0.409
10 Ac 0.000 0.000 0.000